! PBE-GGA K2LaY, optimized geometry; values from VASP
&SYSTEM
  ibrav = 0, nat = 4, ntyp = 3
/
ATOMIC_SPECIES
K 39.10 K.upf
La 138.91 La.upf
Y 88.91 Y.upf
CELL_PARAMETERS angstrom
6.321 -1.825 0.000
6.321 1.825 0.000
-0.696 0.000 8.096
ATOMIC_POSITIONS angstrom
K 0.000 0.000 0.000
K 2.561 0.000 6.091
La 9.378 0.000 2.479
Y 5.839 0.000 3.621
! **E above lowest polymorph**: 0.225 eV per atom
! **Formation enthalpy at 0 K**: 0.459 eV per atom
! **Magnetic moment**: 0.6 μB/cell